# 1
The following is a DFT calculation (PBE) of a geometry-optimized BaSr2Ag structure.

uncorrected energy: -1.9361 eV/atom
magnetic moment: 0.000 μB per formula unit
energy of formation from the pure elements: 0.098 eV per atom
distance to the lowest polymorph of the same formula: 24.5 kJ/mol of atoms

```
BaSr2Ag
1.0
-4.265 -0.752 4.514
-4.701 -4.053 -0.782
-0.143 -5.302 3.317
Ag Sr Ba
1 2 1
direct
0.500 0.500 0.500
0.250 0.250 0.250
0.000 0.000 0.000
0.750 0.750 0.750
```

=====

# 2
The following is a DFT calculation (PBE) of a geometry-optimized K2NiW structure.

uncorrected energy: -3.6668 eV/atom
magnetic moment: 0.000 μB per formula unit
energy of formation from the pure elements: 1.566 eV per atom
distance to the lowest polymorph of the same formula: 70.1 kJ/mol of atoms

```
K2NiW
1.0
-1.119 3.201 1.729
-3.542 -1.373 0.250
1.275 -2.350 5.175
K Ni W
2 1 1
direct
0.500 0.500 0.000
0.000 0.000 0.000
0.500 0.000 0.500
0.000 0.500 0.500
```

=====

# 3
The following is a DFT calculation (PBE) of a geometry-optimized Tm4MgPd7 structure.

uncorrected energy: -5.3910 eV/atom
magnetic moment: 0.000 μB per formula unit
energy of formation from the pure elements: -0.738 eV per atom

```
Tm4MgPd7
1.0
-4.614 -1.751 1.164
-3.093 -4.246 -7.606
-0.127 -5.629 2.075
Tm Pd Mg
4 7 1
direct
0.408 0.785 0.400
0.222 0.358 0.198
0.778 0.642 0.802
0.592 0.215 0.600
0.211 0.093 0.484
0.632 0.478 0.258
0.368 0.522 0.742
0.922 0.310 0.845
0.500 0.000 0.000
0.789 0.907 0.516
0.078 0.690 0.155
0.000 0.000 0.000
```

=====

# 4
The following is a DFT calculation (PBE) of a geometry-optimized Ce3Er2PuN6 structure.

uncorrected energy: -9.1280 eV/atom
magnetic moment: 6.053 μB per formula unit

```
Ce3Er2PuN6
1.0
6.069 -0.002 0.000
-3.034 5.256 0.000
-1.012 -1.753 5.746
N Ce Er Pu
6 3 2 1
direct
0.413 0.081 0.242
0.587 0.919 0.758
0.919 0.587 0.758
0.251 0.251 0.759
0.749 0.749 0.241
0.081 0.413 0.242
0.500 0.500 0.500
0.167 0.833 0.500
0.833 0.167 0.500
0.667 0.333 0.000
0.333 0.667 0.000
0.000 0.000 0.000
```

=====

# 5
The following is a DFT calculation (PBE) of a geometry-optimized LaDyHoZn structure.

uncorrected energy: -4.0004 eV/atom
magnetic moment: 0.000 μB per formula unit
energy of formation from the pure elements: -0.155 eV per atom
distance to the lowest polymorph of the same formula: 0.0 kJ/mol of atoms

```
LaDyHoZn
1.0
-1.472 -1.700 -2.803
3.274 -0.917 -1.162
-0.407 -7.427 4.717
Ho La Zn Dy
1 1 1 1
direct
0.500 0.500 0.373
0.000 0.000 0.072
0.000 0.000 0.570
0.500 0.500 0.770
```

=====

# 6
The following is a DFT calculation (PBE) of a geometry-optimized PWSe2 structure.

uncorrected energy: -5.9473 eV/atom
magnetic moment: 0.000 μB per formula unit

```
PWSe2
1.0
0.795 2.725 0.236
-2.085 -0.268 -1.922
-6.943 1.389 7.336
Se P W
2 1 1
direct
0.000 0.000 0.005
0.500 0.500 0.698
0.500 0.500 0.308
0.000 0.000 0.489
```

=====

# 7
The following is a DFT calculation (PBE) of a geometry-optimized LaPmPr4Nd2 structure.

uncorrected energy: -4.7773 eV/atom
magnetic moment: 0.000 μB per formula unit
energy of formation from the pure elements: 0.014 eV per atom

```
LaPmPr4Nd2
1.0
12.445 -0.688 -3.104
0.342 7.391 -0.272
-9.090 -2.972 8.590
Pr Pm Nd La
8 2 4 2
direct
0.251 0.750 0.500
0.251 0.250 0.500
0.750 0.750 0.500
0.249 0.250 0.000
0.750 0.750 0.000
0.750 0.249 0.000
0.250 0.750 0.000
0.749 0.250 0.499
0.500 0.500 0.500
0.000 0.000 0.000
0.500 0.000 0.500
0.500 0.000 0.000
0.500 0.500 0.000
0.000 0.000 0.500
0.000 0.500 0.000
0.001 0.500 0.500
```

=====

# 8
The following is a DFT calculation (PBE) of a geometry-optimized Ba2IF6 structure.

uncorrected energy: -4.4940 eV/atom
magnetic moment: 1.000 μB per formula unit

```
Ba2IF6
1.0
-5.748 -2.561 -1.238
1.964 -1.555 -5.904
3.587 -9.887 3.797
Ba F I
4 12 2
direct
0.500 0.500 0.173
0.000 0.000 0.673
0.000 0.000 0.327
0.500 0.500 0.827
0.164 0.836 0.500
0.197 0.803 0.867
0.303 0.303 0.367
0.697 0.697 0.633
0.664 0.664 0.000
0.803 0.197 0.133
0.303 0.303 0.633
0.836 0.164 0.500
0.336 0.336 0.000
0.803 0.197 0.867
0.697 0.697 0.367
0.197 0.803 0.133
0.500 0.500 0.500
0.000 0.000 0.000
```

=====

# 9
The following is a DFT calculation (PBE) of a geometry-optimized Li2H8Rh3 structure.

uncorrected energy: -4.2463 eV/atom
magnetic moment: 0.000 μB per formula unit
distance to the lowest polymorph of the same formula: 1.4 kJ/mol of atoms

```
Li2H8Rh3
1.0
-4.326 0.361 2.215
-0.064 0.506 5.734
-1.276 4.953 2.642
Li H Rh
2 8 3
direct
0.468 0.731 0.731
0.532 0.269 0.269
0.579 0.842 0.329
0.421 0.671 0.158
0.002 0.398 0.398
0.946 0.888 0.888
0.998 0.602 0.602
0.579 0.329 0.842
0.054 0.112 0.112
0.421 0.158 0.671
0.500 0.000 0.000
0.000 0.241 0.759
0.000 0.759 0.241
```

=====

# 10
The following is a DFT calculation (PBE) of a geometry-optimized Hf3CoH structure.

uncorrected energy: -8.3419 eV/atom
magnetic moment: 0.000 μB per formula unit
distance to the lowest polymorph of the same formula: 0.0 kJ/mol of atoms

```
Hf3CoH
1.0
3.215 -0.002 0.000
1.604 5.244 -0.476
0.002 1.533 9.234
Hf Co H
6 2 2
direct
0.485 0.598 0.126
0.473 0.622 0.737
0.215 0.138 0.322
0.203 0.163 0.933
0.738 0.096 0.629
0.951 0.665 0.430
0.907 0.755 0.920
0.781 0.006 0.139
0.136 0.301 0.719
0.553 0.460 0.340
```

=====

# 11
The following is a DFT calculation (PBE) of a geometry-optimized Pm3SmCo structure.

uncorrected energy: -5.1408 eV/atom
magnetic moment: 1.212 μB per formula unit
energy of formation from the pure elements: 0.075 eV per atom
distance to the lowest polymorph of the same formula: 13.4 kJ/mol of atoms

```
Pm3SmCo
1.0
-2.801 -3.881 2.547
2.699 -3.782 -2.795
3.777 -0.176 3.886
Pm Sm Co
3 1 1
direct
0.000 0.000 0.500
0.500 0.000 0.000
0.000 0.500 0.000
0.500 0.500 0.500
0.000 0.000 0.000
```

=====

# 12
The following is a DFT calculation (PBE) of a geometry-optimized NaSrCa2Au4 structure.

uncorrected energy: -3.1662 eV/atom
magnetic moment: 0.000 μB per formula unit
energy of formation from the pure elements: -0.652 eV per atom

```
NaSrCa2Au4
1.0
-3.926 2.528 2.255
-4.894 -1.134 -1.287
-3.197 -5.457 6.516
Au Ca Na Sr
4 2 1 1
direct
0.621 0.621 0.137
0.379 0.379 0.863
0.124 0.124 0.629
0.876 0.876 0.371
0.243 0.243 0.271
0.757 0.757 0.729
0.500 0.500 0.500
0.000 0.000 0.000
```